# 1
## LiTb2Co (PBE)

Data for a geometry-optimized LiTb2Co structure.

Unit cell a=3.7417 b=3.7417 c=29.4221 alpha=90.00 beta=90.00 gamma=120.00
Last column: nearest neighbours and their distance in Å.
Fractional coordinates of all 12 atoms:
1 Li 0.0000 0.0000 0.0000  2 Tb 3.40, 6 Li 3.74
2 Li 0.3333 0.6667 0.6667  2 Tb 3.40, 6 Li 3.74
3 Li 0.6667 0.3333 0.3333  2 Tb 3.40, 6 Li 3.74
4 Tb 0.0000 0.0000 0.1155  3 Co 2.63
5 Tb 0.0000 0.0000 0.8845  3 Co 2.63
6 Tb 0.3333 0.6667 0.5511  3 Co 2.63
7 Tb 0.3333 0.6667 0.7822  3 Co 2.63
8 Tb 0.6667 0.3333 0.2178  3 Co 2.63
9 Tb 0.6667 0.3333 0.4489  3 Co 2.63
10 Co 0.0000 0.0000 0.5000  6 Tb 2.63
11 Co 0.3333 0.6667 0.1667  6 Tb 2.63
12 Co 0.6667 0.3333 0.8333  6 Tb 2.63

Results
Calculated volume, A^3/atom: 29.73
Spin magnetization, Bohr magnetons per cell: 0.00
Space-group type: No. 166
VASP energy, eV per atom: -4.475

=====

# 2
## In2TeCl (PBE)

Data for a geometry-optimized In2TeCl structure.

Unit cell a=4.2660 b=4.2660 c=25.5871 alpha=90.00 beta=90.00 gamma=120.00
Last column: nearest neighbours and their distance in Å.
Fractional coordinates of all 12 atoms:
1 In 0.0000 0.0000 0.0000  3 Cl 2.89
2 In 0.0000 0.0000 0.2471  3 Te 2.87
3 In 0.3333 0.6667 0.6667  3 Cl 2.89
4 In 0.3333 0.6667 0.9138  3 Te 2.87
5 In 0.6667 0.3333 0.3333  3 Cl 2.89
6 In 0.6667 0.3333 0.5804  3 Te 2.87
7 Te 0.0000 0.0000 0.5226  3 In 2.87
8 Te 0.3333 0.6667 0.1893  3 In 2.87
9 Te 0.6667 0.3333 0.8559  3 In 2.87
10 Cl 0.0000 0.0000 0.7255  3 In 2.89
11 Cl 0.3333 0.6667 0.3922  3 In 2.89
12 Cl 0.6667 0.3333 0.0589  3 In 2.89

Results
Calculated volume, A^3/atom: 33.61
Spin magnetization, Bohr magnetons per cell: 0.00
Excess energy over the best structure of this formula in the dataset, eV per formula unit: 0.34
E_form (uncorrected), eV per atom: -0.46
Space-group type: No. 160

=====

# 3
## La4Tb5Dy4 (PBE)

Data for a geometry-optimized La4Tb5Dy4 structure.

Unit cell a=9.5629 b=9.5629 c=13.0287 alpha=132.91 beta=132.91 gamma=31.05
Last column: nearest neighbours and their distance in Å.
Fractional coordinates of all 13 atoms:
1 La 0.0781 0.0781 0.1961  4 Dy 3.58-3.62, 3 Tb 3.63-3.68, 5 La 3.65-3.69
2 La 0.3821 0.3821 0.9604  4 Dy 3.58-3.61, 3 Tb 3.63-3.68, 5 La 3.65-3.69
3 La 0.6179 0.6179 0.0396  4 Dy 3.58-3.61, 3 Tb 3.63-3.68, 5 La 3.65-3.69
4 La 0.9219 0.9219 0.8039  4 Dy 3.58-3.62, 3 Tb 3.63-3.68, 5 La 3.65-3.69
5 Tb 0.0000 0.0000 0.5000  8 Tb 3.58, 4 Dy 3.59
6 Tb 0.3118 0.3118 0.2714  4 Tb 3.55-3.58, 5 Dy 3.58-3.65, 3 La 3.63-3.68
7 Tb 0.4597 0.4597 0.6477  4 Tb 3.55-3.58, 5 Dy 3.58-3.65, 3 La 3.63-3.68
8 Tb 0.5403 0.5403 0.3523  4 Tb 3.55-3.58, 5 Dy 3.58-3.65, 3 La 3.63-3.68
9 Tb 0.6882 0.6882 0.7286  4 Tb 3.55-3.58, 5 Dy 3.58-3.65, 3 La 3.63-3.68
10 Dy 0.1529 0.1529 0.8819  4 La 3.58-3.61, 6 Tb 3.58-3.65, 2 Dy 3.64
11 Dy 0.2292 0.2292 0.5763  4 La 3.58-3.62, 6 Tb 3.58-3.65, 2 Dy 3.64
12 Dy 0.7708 0.7708 0.4237  4 La 3.58-3.62, 6 Tb 3.58-3.65, 2 Dy 3.64
13 Dy 0.8471 0.8471 0.1181  4 La 3.58-3.61, 6 Tb 3.58-3.65, 2 Dy 3.64

Results
Calculated volume, A^3/atom: 33.44
Spin magnetization, Bohr magnetons per cell: 0.00
Space-group type: No. 12
VASP energy, eV per atom: -4.686

=====

# 4
## K2HPdAu (PBE)

Data for a geometry-optimized K2HPdAu structure.

Unit cell a=5.8445 b=5.8445 c=3.5081 alpha=90.00 beta=90.00 gamma=90.00
Last column: nearest neighbours and their distance in Å.
Fractional coordinates of all 5 atoms:
1 K 0.0000 0.5000 0.0000  2 H 2.92
2 K 0.5000 0.0000 0.0000  2 H 2.92
3 H 0.0000 0.0000 0.0000  2 Pd 1.75
4 Pd 0.0000 0.0000 0.5000  2 H 1.75
5 Au 0.5000 0.5000 0.5000  8 K 3.41, 2 Au 3.51

Results
Calculated volume, A^3/atom: 23.97
Spin magnetization, Bohr magnetons per cell: 0.00
Space-group type: No. 123
VASP energy, eV per atom: -3.002

=====

# 5
## CePaAu2 (PBE)

Data for a geometry-optimized CePaAu2 structure.

Unit cell a=3.3135 b=3.3135 c=29.8161 alpha=90.00 beta=90.00 gamma=120.00
Last column: nearest neighbours and their distance in Å.
Fractional coordinates of all 12 atoms:
1 Ce 0.0000 0.0000 0.0000  6 Au 3.16, 6 Ce 3.31
2 Ce 0.3333 0.6667 0.6667  6 Au 3.16, 6 Ce 3.31
3 Ce 0.6667 0.3333 0.3333  6 Au 3.16, 6 Ce 3.31
4 Pa 0.0000 0.0000 0.5000  6 Au 3.11, 6 Pa 3.31
5 Pa 0.3333 0.6667 0.1667  6 Au 3.11, 6 Pa 3.31
6 Pa 0.6667 0.3333 0.8333  6 Au 3.11, 6 Pa 3.31
7 Au 0.0000 0.0000 0.2491  3 Pa 3.11, 3 Ce 3.16, 6 Au 3.31
8 Au 0.0000 0.0000 0.7509  3 Pa 3.11, 3 Ce 3.16, 6 Au 3.31
9 Au 0.3333 0.6667 0.4176  3 Pa 3.11, 3 Ce 3.16, 6 Au 3.31
10 Au 0.3333 0.6667 0.9157  3 Pa 3.11, 3 Ce 3.16, 6 Au 3.31
11 Au 0.6667 0.3333 0.0843  3 Pa 3.11, 3 Ce 3.16, 6 Au 3.31
12 Au 0.6667 0.3333 0.5824  3 Pa 3.11, 3 Ce 3.16, 6 Au 3.31

Results
Calculated volume, A^3/atom: 23.62
Spin magnetization, Bohr magnetons per cell: 2.35
Excess energy over the best structure of this formula in the dataset, eV per formula unit: 0.82
Space-group type: No. 166

=====

# 6
## Ca2AgPt (PBE)

Data for a geometry-optimized Ca2AgPt structure.

Unit cell a=7.9271 b=7.9271 c=6.3351 alpha=90.00 beta=90.00 gamma=90.00
Last column: nearest neighbours and their distance in Å.
Fractional coordinates of all 16 atoms:
1 Ca 0.2261 0.2500 0.1250  2 Pt 2.79, 2 Ag 3.04
2 Ca 0.2500 0.7261 0.3750  2 Pt 2.79, 2 Ag 3.04
3 Ca 0.2500 0.7739 0.8750  2 Pt 2.79, 2 Ag 3.04
4 Ca 0.2739 0.2500 0.6250  2 Pt 2.79, 2 Ag 3.04
5 Ca 0.7261 0.7500 0.6250  2 Pt 2.79, 2 Ag 3.04
6 Ca 0.7500 0.2261 0.8750  2 Pt 2.79, 2 Ag 3.04
7 Ca 0.7500 0.2739 0.3750  2 Pt 2.79, 2 Ag 3.04
8 Ca 0.7739 0.7500 0.1250  2 Pt 2.79, 2 Ag 3.04
9 Ag 0.0000 0.0000 0.5000  4 Ca 3.04, 2 Pt 3.17
10 Ag 0.0000 0.5000 0.7500  4 Ca 3.04, 2 Pt 3.17
11 Ag 0.5000 0.0000 0.2500  4 Ca 3.04, 2 Pt 3.17
12 Ag 0.5000 0.5000 0.0000  4 Ca 3.04, 2 Pt 3.17
13 Pt 0.0000 0.0000 0.0000  4 Ca 2.79
14 Pt 0.0000 0.5000 0.2500  4 Ca 2.79
15 Pt 0.5000 0.0000 0.7500  4 Ca 2.79
16 Pt 0.5000 0.5000 0.5000  4 Ca 2.79

Results
Calculated volume, A^3/atom: 24.88
Spin magnetization, Bohr magnetons per cell: 0.00
Space-group type: No. 122
VASP energy, eV per atom: -3.544

=====

# 7
## KIrAu2 (PBE)

Data for a geometry-optimized KIrAu2 structure.

Unit cell a=2.8571 b=2.8571 c=9.6890 alpha=90.00 beta=90.00 gamma=90.00
Last column: nearest neighbours and their distance in Å.
Fractional coordinates of all 4 atoms:
1 K 0.0000 0.0000 0.0000  4 K 2.86
2 Ir 0.5000 0.5000 0.7275  4 Ir 2.86, 4 Au 2.86
3 Au 0.0000 0.0000 0.5188  8 Au 2.86-3.01, 4 Ir 2.86
4 Au 0.5000 0.5000 0.2882  8 Au 2.86-3.01

Results
Calculated volume, A^3/atom: 19.77
Spin magnetization, Bohr magnetons per cell: 0.69
Excess energy over the best structure of this formula in the dataset, eV per formula unit: 0.61
Space-group type: No. 99

=====

# 8
## CeHg3Au8 (PBE)

Data for a geometry-optimized CeHg3Au8 structure.

Unit cell a=9.7384 b=9.7384 c=9.7384 alpha=33.79 beta=33.79 gamma=33.79
Last column: nearest neighbours and their distance in Å.
Fractional coordinates of all 12 atoms:
1 Ce 0.0000 0.0000 0.0000  12 Au 3.27-3.33, 4 Hg 3.49-3.50
2 Hg 0.1273 0.1273 0.1273  12 Au 3.28-3.33, 3 Hg 3.45, 1 Ce 3.50
3 Hg 0.5006 0.5006 0.5006  12 Au 3.29-3.32, 4 Hg 3.36-3.45
4 Hg 0.6226 0.6226 0.6226  12 Au 3.26-3.38, 1 Hg 3.36, 3 Ce 3.49
5 Au 0.0635 0.0635 0.5643  6 Au 2.81-2.83
6 Au 0.0635 0.5643 0.0635  6 Au 2.81-2.83
7 Au 0.0627 0.5642 0.5642  6 Au 2.82-2.84
8 Au 0.3135 0.3135 0.3135  6 Au 2.81-2.82
9 Au 0.5643 0.0635 0.0635  6 Au 2.81-2.83
10 Au 0.5642 0.0627 0.5642  6 Au 2.82-2.84
11 Au 0.5642 0.5642 0.0627  6 Au 2.82-2.84
12 Au 0.8139 0.8139 0.8139  6 Au 2.81-2.82

Results
Calculated volume, A^3/atom: 21.21
Spin magnetization, Bohr magnetons per cell: 1.21
Space-group type: No. 160
VASP energy, eV per atom: -2.916

=====

# 9
## Cr4AgP (PBE)

Data for a geometry-optimized Cr4AgP structure.

Unit cell a=4.8045 b=4.8045 c=4.8045 alpha=60.00 beta=60.00 gamma=60.00
Last column: nearest neighbours and their distance in Å.
Fractional coordinates of all 6 atoms:
1 Cr 0.3766 0.3766 0.3766  6 Cr 2.37-2.43
2 Cr 0.3766 0.3766 0.8701  6 Cr 2.37-2.43
3 Cr 0.3766 0.8701 0.3766  6 Cr 2.37-2.43
4 Cr 0.8701 0.3766 0.3766  6 Cr 2.37-2.43
5 Ag 0.7500 0.7500 0.7500  12 Cr 2.81, 4 P 2.94
6 P 0.0000 0.0000 0.0000  12 Cr 2.82, 4 Ag 2.94

Results
Calculated volume, A^3/atom: 13.07
Spin magnetization, Bohr magnetons per cell: 0.00
Space-group type: No. 216
VASP energy, eV per atom: -7.217

=====

# 10
## Be3N2 (PBE)

Data for a geometry-optimized Be3N2 structure.

Unit cell a=2.8176 b=2.8176 c=4.6677 alpha=90.00 beta=90.00 gamma=120.00
Last column: nearest neighbours and their distance in Å.
Fractional coordinates of all 5 atoms:
1 Be 0.0000 0.0000 0.0000  6 N 2.01
2 Be 0.3333 0.6667 0.6495  4 N 1.69-1.85
3 Be 0.6667 0.3333 0.3505  4 N 1.69-1.85
4 N 0.3333 0.6667 0.2530  4 Be 1.69-1.85
5 N 0.6667 0.3333 0.7470  4 Be 1.69-1.85

Results
Calculated volume, A^3/atom: 6.42
Spin magnetization, Bohr magnetons per cell: 0.00
Excess energy over the best structure of this formula in the dataset, eV per formula unit: 1.04
E_form (uncorrected), eV per atom: -0.88
Space-group type: No. 164

=====

# 11
## NaGaSe2 (PBE)

Data for a geometry-optimized NaGaSe2 structure.

Unit cell a=3.8644 b=3.8644 c=7.5402 alpha=90.00 beta=90.00 gamma=120.00
Last column: nearest neighbours and their distance in Å.
Fractional coordinates of all 4 atoms:
1 Na 0.0000 0.0000 0.0000  4 Se 2.84-2.89
2 Ga 0.6667 0.3333 0.5544  6 Se 2.60-2.70
3 Se 0.0000 0.0000 0.3763  3 Ga 2.60, 1 Na 2.84
4 Se 0.3333 0.6667 0.7566  3 Ga 2.70, 3 Na 2.89

Results
Calculated volume, A^3/atom: 24.38
Spin magnetization, Bohr magnetons per cell: 0.00
E_form (uncorrected), eV per atom: -0.67
Space-group type: No. 156

=====

# 12
## Rb2NbHS4 (PBE)

Data for a geometry-optimized Rb2NbHS4 structure.

Unit cell a=8.3061 b=8.3061 c=7.3027 alpha=104.83 beta=104.83 gamma=71.59
Last column: nearest neighbours and their distance in Å.
Fractional coordinates of all 16 atoms:
1 Rb 0.0222 0.4176 0.6085  6 S 3.19-3.57
2 Rb 0.1430 0.1430 0.0428  2 H 3.26-3.45, 6 S 3.29-3.61
3 Rb 0.5824 0.9778 0.3915  6 S 3.19-3.57
4 Rb 0.8570 0.8570 0.9572  2 H 3.26-3.45, 6 S 3.29-3.61
5 Nb 0.5348 0.4651 0.2873  3 S 2.30-2.44
6 Nb 0.5349 0.4652 0.7127  3 S 2.30-2.44
7 H 0.4998 0.1649 0.9004  1 S 1.35
8 H 0.8351 0.5002 0.0996  1 S 1.35
9 S 0.2764 0.7131 0.8509  1 S 2.14
10 S 0.2869 0.7236 0.1491  1 S 2.14
11 S 0.3412 0.3772 0.4162  2 Nb 2.42-2.44
12 S 0.3953 0.3276 0.9202  1 H 1.35
13 S 0.6228 0.6588 0.5838  2 Nb 2.42-2.44
14 S 0.6724 0.6047 0.0798  1 H 1.35
15 S 0.7701 0.2295 0.2571  1 Nb 2.30
16 S 0.7705 0.2299 0.7429  1 Nb 2.30

Results
Calculated volume, A^3/atom: 28.35
Spin magnetization, Bohr magnetons per cell: 0.00
Space-group type: No. 5
VASP energy, eV per atom: -4.845